Entry 1:
Computed, not measured: a relaxed structure of AcEr4Tm2 at the GGA-PBE level of DFT.

Unit cell a=6.7168 b=9.4242 c=8.9685 alpha=112.10 beta=103.02 gamma=109.51
With the nearest neighbours (Å) after each atom.
Element x y z (fractional)
Ac 0.9985 0.6106 0.3949  4 Tm 3.40-3.69, 5 Er 3.45-3.63
Ac 0.1290 0.0914 0.0415  6 Er 3.30-3.60, 2 Tm 3.45-3.46
Tm 0.4341 0.5024 0.4026  3 Ac 3.40-3.61, 5 Er 3.46-3.72, 1 Tm 3.56
Tm 0.0978 0.3124 0.5956  8 Er 3.44-3.53, 2 Tm 3.46-3.56
Tm 0.9354 0.3538 0.9429  7 Er 3.39-3.64, 2 Ac 3.45-3.69, 2 Tm 3.46-3.54
Tm 0.3765 0.7865 0.1995  8 Er 3.40-3.58, 1 Tm 3.54, 1 Ac 3.69
Er 0.7808 0.9444 0.6046  4 Tm 3.40-3.50, 5 Er 3.44-3.68, 1 Ac 3.52
Er 0.5176 0.7509 0.8370  7 Er 3.42-3.63, 3 Tm 3.50-3.53, 1 Ac 3.73
Er 0.5312 0.2151 0.5224  3 Er 3.17-3.42, 4 Tm 3.44-3.55
Er 0.6849 0.1532 0.1768  4 Er 3.39-3.58, 3 Ac 3.42-3.60, 3 Tm 3.49-3.64
Er 0.9431 0.6372 0.7918  4 Tm 3.41-3.72, 3 Er 3.42-3.52, 2 Ac 3.59
Er 0.9414 0.8995 0.2581  2 Ac 3.30-3.47, 3 Tm 3.43-3.52, 5 Er 3.44-3.58
Er 0.5158 0.4643 0.9993  5 Tm 3.39-3.68, 3 Er 3.51-3.52, 1 Ac 3.63
Er 0.3639 0.0283 0.7330  5 Er 3.17-3.54, 2 Ac 3.44-3.45, 1 Tm 3.50

Results
**D(E_F)**: 17.82 states/eV/cell
**E_form**: 0.09 eV per atom
**Space group**: No. 1

***

Entry 2:
Computed, not measured: a relaxed structure of AcEr4Tm6 at the GGA-PBE level of DFT.

Unit cell a=5.6591 b=5.6337 c=25.3373 alpha=90.00 beta=90.00 gamma=120.15
With the nearest neighbours (Å) after each atom.
Element x y z (fractional)
Ac 0.8280 0.6559 0.2500  3 Tm 3.25-3.26
Ac 0.1720 0.3441 0.7500  3 Tm 3.25-3.26
Er 0.8348 0.6696 0.5410  8 Tm 3.42-3.58, 1 Er 3.81
Er 0.4947 0.9895 0.1220  5 Tm 3.09-3.31
Er 0.1652 0.3304 0.4590  8 Tm 3.42-3.58, 1 Er 3.81
Er 0.5053 0.0105 0.8780  5 Tm 3.09-3.31
Er 0.8348 0.6696 0.9590  8 Tm 3.42-3.58, 1 Er 3.81
Er 0.1652 0.3304 0.0410  8 Tm 3.42-3.58, 1 Er 3.81
Er 0.5053 0.0105 0.6220  5 Tm 3.09-3.31
Er 0.4947 0.9895 0.3780  5 Tm 3.09-3.31
Tm 0.5000 0.0000 0.0000  8 Er 3.09-3.42
Tm 0.5000 0.0000 0.5000  8 Er 3.09-3.42
Tm 0.1615 0.3229 0.3211  4 Er 3.49-3.57, 7 Tm 3.60-3.85, 3 Ac 3.71-3.73
Tm 0.8385 0.6771 0.6789  4 Er 3.49-3.57, 7 Tm 3.60-3.85, 3 Ac 3.71-3.73
Tm 0.8385 0.6771 0.8211  4 Er 3.49-3.57, 7 Tm 3.60-3.85, 3 Ac 3.71-3.73
Tm 0.1615 0.3229 0.1789  4 Er 3.49-3.57, 7 Tm 3.60-3.85, 3 Ac 3.71-3.73
Tm 0.8292 0.6584 0.4013  7 Er 3.31-3.58
Tm 0.1708 0.3416 0.5987  7 Er 3.31-3.58
Tm 0.1708 0.3416 0.9013  7 Er 3.31-3.58
Tm 0.8292 0.6584 0.0987  7 Er 3.31-3.58
Tm 0.4940 0.9879 0.2500  2 Er 3.24, 3 Ac 3.25-3.26
Tm 0.5060 0.0121 0.7500  2 Er 3.24, 3 Ac 3.25-3.26

Results
**D(E_F)**: 36.12 states/eV/cell
**E_form**: 0.14 eV per atom
**Space group**: No. 63